# 1
A crystal of ZrCrAg relaxed with PBEsol. Source: Alexandria, functional SCAN.

POSCAR file:
```
ZrCrAg
1.0
4.636 0.000 0.000
-2.318 4.015 0.000
0.000 0.000 2.897
Zr Cr Ag
1 1 1
Direct
0.000 0.000 0.000 Zr
0.333 0.667 0.509 Cr
0.667 0.333 0.492 Ag
```

Properties
Relative energy among the computed polymorphs: 0.00 eV/f.u.
Total magnetic moment: 4.5 Bohr magnetons per cell
DFT formation energy: 0.129 eV/atom
ρ: 7.73 Mg/m³



# 2
A crystal of CsDy2Ag3Te5 relaxed with PBEsol. Source: Alexandria, functional SCAN.

POSCAR file:
```
CsDy2Ag3Te5
1.0
2.242 -8.004 0.000
2.242 8.004 0.000
0.000 0.000 18.215
Cs Dy Ag Te
2 4 6 10
Direct
0.058 0.942 0.750 Cs
0.942 0.058 0.250 Cs
0.190 0.810 0.093 Dy
0.190 0.810 0.407 Dy
0.810 0.190 0.593 Dy
0.810 0.190 0.907 Dy
0.342 0.658 0.750 Ag
0.413 0.587 0.031 Ag
0.413 0.587 0.469 Ag
0.587 0.413 0.531 Ag
0.587 0.413 0.969 Ag
0.658 0.342 0.250 Ag
0.177 0.823 0.574 Te
0.177 0.823 0.926 Te
0.256 0.744 0.250 Te
0.439 0.561 0.620 Te
0.439 0.561 0.880 Te
0.561 0.439 0.120 Te
0.561 0.439 0.380 Te
0.744 0.256 0.750 Te
0.823 0.177 0.074 Te
0.823 0.177 0.426 Te
```

Properties
Total magnetic moment: 0.0 Bohr magnetons per cell
ρ: 7.21 Mg/m³
ΔE_f (raw): -10.8 eV per formula unit



# 3
A crystal of CsEr2Ag3Te5 relaxed with PBEsol. Source: Alexandria, functional SCAN.

POSCAR file:
```
CsEr2Ag3Te5
1.0
2.232 -8.020 0.000
2.232 8.020 0.000
0.000 0.000 18.140
Cs Er Ag Te
2 4 6 10
Direct
0.057 0.943 0.750 Cs
0.943 0.057 0.250 Cs
0.191 0.809 0.094 Er
0.191 0.809 0.406 Er
0.809 0.191 0.594 Er
0.809 0.191 0.906 Er
0.341 0.659 0.750 Ag
0.415 0.585 0.033 Ag
0.415 0.585 0.467 Ag
0.585 0.415 0.533 Ag
0.585 0.415 0.967 Ag
0.659 0.341 0.250 Ag
0.178 0.822 0.573 Te
0.178 0.822 0.927 Te
0.256 0.744 0.250 Te
0.437 0.563 0.619 Te
0.437 0.563 0.881 Te
0.563 0.437 0.119 Te
0.563 0.437 0.381 Te
0.744 0.256 0.750 Te
0.822 0.178 0.073 Te
0.822 0.178 0.427 Te
```

Properties
Total magnetic moment: 0.0 Bohr magnetons per cell
ρ: 7.31 Mg/m³
ΔE_f (raw): -10.5 eV per formula unit



# 4
A crystal of CsAg3F relaxed with PBEsol. Source: Alexandria, functional SCAN.

POSCAR file:
```
CsAg3F
1.0
4.887 0.000 0.000
0.000 4.887 0.000
0.000 0.000 4.887
Cs Ag F
1 3 1
Direct
0.000 0.000 0.000 Cs
0.000 0.500 0.500 Ag
0.500 0.000 0.500 Ag
0.500 0.500 0.000 Ag
0.500 0.500 0.500 F
```

Properties
Total magnetic moment: 0.0 Bohr magnetons per cell
ρ: 6.77 Mg/m³
ΔE_f (raw): 0.2 eV per formula unit



# 5
A crystal of Cs2AgIrF6 relaxed with PBEsol. Source: Alexandria, functional SCAN.

POSCAR file:
```
Cs2AgIrF6
1.0
0.000 4.411 4.411
4.411 0.000 4.411
4.411 4.411 0.000
Cs Ag Ir F
2 1 1 6
Direct
0.250 0.250 0.250 Cs
0.750 0.750 0.750 Cs
0.000 0.000 0.000 Ag
0.500 0.500 0.500 Ir
0.270 0.270 0.730 F
0.270 0.730 0.270 F
0.270 0.730 0.730 F
0.730 0.270 0.270 F
0.730 0.270 0.730 F
0.730 0.730 0.270 F
```

Properties
Total magnetic moment: 0.2 Bohr magnetons per cell
ρ: 6.58 Mg/m³
ΔE_f (raw): -21.1 eV per formula unit



# 6
A crystal of Cs2KAgF6 relaxed with PBEsol. Source: Alexandria, functional SCAN.

POSCAR file:
```
Cs2KAgF6
1.0
0.000 4.581 4.581
4.581 0.000 4.581
4.581 4.581 0.000
Cs K Ag F
2 1 1 6
Direct
0.250 0.250 0.250 Cs
0.750 0.750 0.750 Cs
0.000 0.000 0.000 K
0.500 0.500 0.500 Ag
0.273 0.273 0.727 F
0.273 0.727 0.273 F
0.273 0.727 0.727 F
0.727 0.273 0.273 F
0.727 0.273 0.727 F
0.727 0.727 0.273 F
```

Properties
Total magnetic moment: 2.0 Bohr magnetons per cell
ρ: 4.55 Mg/m³
ΔE_f (raw): -23.5 eV per formula unit